1.
DFT (PBE) results for a geometry-optimized TbPm2Tl2Zn2 structure.

POSCAR file:
```
TbPm2Tl2Zn2
1.0
-2.109 -3.605 -2.283
-1.674 -3.718 2.456
-9.579 1.877 0.924
Tb Tl Zn Pm
1 2 2 2
Direct
0.000 0.000 0.000
0.265 0.265 0.205
0.735 0.735 0.795
0.390 0.390 0.829
0.610 0.610 0.171
0.874 0.874 0.378
0.126 0.126 0.622
```

2.
DFT (PBE) results for a geometry-optimized Tb3Pm3TlZn2 structure.

POSCAR file:
```
Tb3Pm3TlZn2
1.0
3.831 0.000 0.000
0.000 8.757 0.000
0.000 -4.378 7.584
Tl Zn Pm Tb
1 2 3 3
Direct
0.000 0.000 0.000
0.500 0.667 0.333
0.500 0.333 0.667
0.500 0.000 0.702
0.500 0.298 0.298
0.500 0.702 0.000
0.000 0.000 0.381
0.000 0.619 0.619
0.000 0.381 0.000
```

3.
DFT (PBE) results for a geometry-optimized Tb2PmTl2Zn2 structure.

POSCAR file:
```
Tb2PmTl2Zn2
1.0
4.779 0.000 0.000
2.390 4.139 0.000
2.390 1.380 9.125
Zn Tb Tl Pm
2 2 2 1
Direct
0.583 0.583 0.251
0.417 0.417 0.749
0.870 0.870 0.389
0.130 0.130 0.611
0.735 0.735 0.795
0.265 0.265 0.205
0.000 0.000 0.000
```

4.
DFT (PBE) results for a geometry-optimized Tb5Pm4Tm2 structure.

relative energy among the computed polymorphs	0.000	eV/atom

POSCAR file:
```
Tb5Pm4Tm2
1.0
5.493 0.000 -1.340
-0.295 6.503 -1.211
-0.525 1.977 9.776
Tb Pm Tm
5 4 2
Direct
0.208 0.598 0.416
0.130 0.106 0.260
0.792 0.402 0.584
0.500 0.000 0.000
0.870 0.894 0.740
0.306 0.070 0.612
0.019 0.711 0.038
0.694 0.930 0.388
0.981 0.289 0.962
0.597 0.448 0.194
0.403 0.552 0.806
```

Number 1: E_form -1.3 eV per formula unit, M_tot 0.00 μB per cell. Number 2: E_form -1.2 eV per formula unit, M_tot 0.00 μB per cell. Number 3: E_form -1.2 eV per formula unit, M_tot 0.00 μB per cell. Number 4: E_form 1.2 eV per formula unit, M_tot 0.00 μB per cell.